The following is a DFT calculation (PBE-GGA) of crystalline RbSe2SO at its relaxed geometry.

The calculation puts the total magnetic moment at 0.0 μB per cell. The energy relative to the elements, uncorrected comes out at 0.77 eV/f.u.

The space group is P4/mmm (No. 123) and the conventional cell measures 4.4372, 4.4372 and 5.5384 Å, with angles of 90.00, 90.00 and 90.00 degrees. The asymmetric unit holds Rb at (0.0000, 0.0000, 0.0000), Se at (0.0000, 0.5000, 0.5000), S at (0.5000, 0.5000, 0.0000) and O at (0.0000, 0.0000, 0.5000).